# 1
# La2GaAgRh

Crystalline La2GaAgRh at its relaxed geometry (PBE, Alexandria via LeMat-Bulk).

CIF file:
```
data_La2GaAgRh
_cell_length_a 5.5061
_cell_length_b 5.5061
_cell_length_c 4.7935
_cell_angle_alpha 90.00
_cell_angle_beta 90.00
_cell_angle_gamma 90.00
_symmetry_space_group_name_H-M 'P 4/m m m'
_symmetry_Int_Tables_number 123
_symmetry_space_group_name_Hall '-P 4 2'
loop_
_atom_site_label
_atom_site_type_symbol
_atom_site_fract_x
_atom_site_fract_y
_atom_site_fract_z
La1 La 0.0000 0.5000 0.0000
Ga1 Ga 0.0000 0.0000 0.5000
Ag1 Ag 0.5000 0.5000 0.5000
Rh1 Rh 0.0000 0.0000 0.0000
```

Results
The size of the total moment is 0.00 μB per atom. As for the total energy: -0.3706 Ry/atom.

=====

# 2
# EuTm3Co

Crystalline EuTm3Co at its relaxed geometry (PBE, Alexandria via LeMat-Bulk).

CIF file:
```
data_EuTm3Co
_cell_length_a 5.2649
_cell_length_b 5.2649
_cell_length_c 5.2649
_cell_angle_alpha 90.00
_cell_angle_beta 90.00
_cell_angle_gamma 90.00
_symmetry_space_group_name_H-M 'P m -3 m'
_symmetry_Int_Tables_number 221
_symmetry_space_group_name_Hall '-P 4 2 3'
loop_
_atom_site_label
_atom_site_type_symbol
_atom_site_fract_x
_atom_site_fract_y
_atom_site_fract_z
Eu1 Eu 0.0000 0.0000 0.0000
Tm1 Tm 0.0000 0.5000 0.5000
Co1 Co 0.5000 0.5000 0.5000
```

Results
The size of the total moment is 1.50 μB per atom. As for the total energy: -0.4590 Ry/atom.

=====

# 3
# PrTmLu

Crystalline PrTmLu at its relaxed geometry (PBE, Alexandria via LeMat-Bulk).

CIF file:
```
data_PrTmLu
_cell_length_a 3.5565
_cell_length_b 3.5565
_cell_length_c 15.1185
_cell_angle_alpha 90.00
_cell_angle_beta 90.00
_cell_angle_gamma 90.00
_symmetry_space_group_name_H-M 'I 4 m m'
_symmetry_Int_Tables_number 107
_symmetry_space_group_name_Hall 'I 4 -2'
loop_
_atom_site_label
_atom_site_type_symbol
_atom_site_fract_x
_atom_site_fract_y
_atom_site_fract_z
Pr1 Pr 0.0000 0.0000 0.0000
Tm1 Tm 0.0000 0.0000 0.3297
Lu1 Lu 0.0000 0.0000 0.6692
```

Results
The size of the total moment is 0.00 μB per atom. As for the total energy: -0.3349 Ry/atom.

=====

# 4
# Nd3Ga2Au6

Crystalline Nd3Ga2Au6 at its relaxed geometry (PBE, Alexandria via LeMat-Bulk).

CIF file:
```
data_Nd3Ga2Au6
_cell_length_a 4.1008
_cell_length_b 4.1008
_cell_length_c 30.3223
_cell_angle_alpha 90.00
_cell_angle_beta 90.00
_cell_angle_gamma 90.00
_symmetry_space_group_name_H-M 'I 4/m m m'
_symmetry_Int_Tables_number 139
_symmetry_space_group_name_Hall '-I 4 2'
loop_
_atom_site_label
_atom_site_type_symbol
_atom_site_fract_x
_atom_site_fract_y
_atom_site_fract_z
Nd1 Nd 0.0000 0.0000 0.0000
Nd2 Nd 0.0000 0.0000 0.1762
Ga1 Ga 0.0000 0.0000 0.3668
Au1 Au 0.0000 0.0000 0.2772
Au2 Au 0.0000 0.5000 0.0783
```

Results
The size of the total moment is 0.00 μB per atom. As for the total energy: -0.3063 Ry/atom.

=====

# 5
# BaSrIr

Crystalline BaSrIr at its relaxed geometry (PBE, Alexandria via LeMat-Bulk).

CIF file:
```
data_BaSrIr
_cell_length_a 7.4167
_cell_length_b 7.4167
_cell_length_c 7.4167
_cell_angle_alpha 90.00
_cell_angle_beta 90.00
_cell_angle_gamma 90.00
_symmetry_space_group_name_H-M 'F -4 3 m'
_symmetry_Int_Tables_number 216
_symmetry_space_group_name_Hall 'F -4 2 3'
loop_
_atom_site_label
_atom_site_type_symbol
_atom_site_fract_x
_atom_site_fract_y
_atom_site_fract_z
Ba1 Ba 0.0000 0.0000 0.0000
Sr1 Sr 0.0000 0.0000 0.5000
Ir1 Ir 0.2500 0.2500 0.7500
```

Results
The size of the total moment is 0.00 μB per atom. As for the total energy: -0.3108 Ry/atom.

=====

# 6
# RbVGa2Pd

Crystalline RbVGa2Pd at its relaxed geometry (PBE, Alexandria via LeMat-Bulk).

CIF file:
```
data_RbVGa2Pd
_cell_length_a 5.5891
_cell_length_b 5.5891
_cell_length_c 5.2104
_cell_angle_alpha 90.00
_cell_angle_beta 90.00
_cell_angle_gamma 90.00
_symmetry_space_group_name_H-M 'P 4/m m m'
_symmetry_Int_Tables_number 123
_symmetry_space_group_name_Hall '-P 4 2'
loop_
_atom_site_label
_atom_site_type_symbol
_atom_site_fract_x
_atom_site_fract_y
_atom_site_fract_z
Rb1 Rb 0.0000 0.0000 0.0000
V1 V 0.0000 0.0000 0.5000
Ga1 Ga 0.0000 0.5000 0.0000
Pd1 Pd 0.5000 0.5000 0.5000
```

Results
The size of the total moment is 0.84 μB per atom. As for the total energy: -0.1714 Ry/atom.

=====

# 7
# Ba2EuBr

Crystalline Ba2EuBr at its relaxed geometry (PBE, Alexandria via LeMat-Bulk).

CIF file:
```
data_Ba2EuBr
_cell_length_a 4.0912
_cell_length_b 4.0912
_cell_length_c 10.8801
_cell_angle_alpha 90.00
_cell_angle_beta 90.00
_cell_angle_gamma 90.00
_symmetry_space_group_name_H-M 'P 4/m m m'
_symmetry_Int_Tables_number 123
_symmetry_space_group_name_Hall '-P 4 2'
loop_
_atom_site_label
_atom_site_type_symbol
_atom_site_fract_x
_atom_site_fract_y
_atom_site_fract_z
Ba1 Ba 0.0000 0.0000 0.2152
Eu1 Eu 0.5000 0.5000 0.5000
Br1 Br 0.5000 0.5000 0.0000
```

Results
The size of the total moment is 2.22 μB per atom. As for the total energy: -0.3384 Ry/atom. The calculation puts the formation energy (no corrections) at -0.656 eV per atom.

=====

# 8
# MgRh3F

Crystalline MgRh3F at its relaxed geometry (PBE, Alexandria via LeMat-Bulk).

CIF file:
```
data_MgRh3F
_cell_length_a 4.2864
_cell_length_b 4.2864
_cell_length_c 4.2864
_cell_angle_alpha 90.00
_cell_angle_beta 90.00
_cell_angle_gamma 90.00
_symmetry_space_group_name_H-M 'P m -3 m'
_symmetry_Int_Tables_number 221
_symmetry_space_group_name_Hall '-P 4 2 3'
loop_
_atom_site_label
_atom_site_type_symbol
_atom_site_fract_x
_atom_site_fract_y
_atom_site_fract_z
Mg1 Mg 0.0000 0.0000 0.0000
Rh1 Rh 0.0000 0.5000 0.5000
F1 F 0.5000 0.5000 0.5000
```

Results
The size of the total moment is 0.56 μB per atom. As for the total energy: -0.3498 Ry/atom. The calculation puts the formation energy (no corrections) at 0.345 eV per atom.

=====

# 9
# CuHgOs2

Crystalline CuHgOs2 at its relaxed geometry (PBE, Alexandria via LeMat-Bulk).

CIF file:
```
data_CuHgOs2
_cell_length_a 2.7749
_cell_length_b 4.7186
_cell_length_c 9.6297
_cell_angle_alpha 90.00
_cell_angle_beta 90.00
_cell_angle_gamma 90.00
_symmetry_space_group_name_H-M 'C m m m'
_symmetry_Int_Tables_number 65
_symmetry_space_group_name_Hall '-C 2 2'
loop_
_atom_site_label
_atom_site_type_symbol
_atom_site_fract_x
_atom_site_fract_y
_atom_site_fract_z
Cu1 Cu 0.0000 0.0000 0.0000
Hg1 Hg 0.0000 0.0000 0.5000
Os1 Os 0.0000 0.5000 0.2262
```

Results
The size of the total moment is 0.00 μB per atom. As for the total energy: -0.4340 Ry/atom.

=====

# 10
# Ag3MoN

Crystalline Ag3MoN at its relaxed geometry (PBE, Alexandria via LeMat-Bulk).

CIF file:
```
data_Ag3MoN
_cell_length_a 5.0690
_cell_length_b 5.0690
_cell_length_c 5.0690
_cell_angle_alpha 90.00
_cell_angle_beta 90.00
_cell_angle_gamma 90.00
_symmetry_space_group_name_H-M 'P m -3 m'
_symmetry_Int_Tables_number 221
_symmetry_space_group_name_Hall '-P 4 2 3'
loop_
_atom_site_label
_atom_site_type_symbol
_atom_site_fract_x
_atom_site_fract_y
_atom_site_fract_z
Ag1 Ag 0.0000 0.0000 0.5000
Mo1 Mo 0.0000 0.0000 0.0000
N1 N 0.5000 0.5000 0.5000
```

Results
The size of the total moment is 0.00 μB per atom. As for the total energy: -0.2007 Ry/atom. The calculation puts the formation energy (no corrections) at 2.811 eV per atom.

=====

# 11
# CaInBr2Cl

Crystalline CaInBr2Cl at its relaxed geometry (PBE, Alexandria via LeMat-Bulk).

CIF file:
```
data_CaInBr2Cl
_cell_length_a 6.6953
_cell_length_b 6.6953
_cell_length_c 4.8206
_cell_angle_alpha 90.00
_cell_angle_beta 90.00
_cell_angle_gamma 90.00
_symmetry_space_group_name_H-M 'P 4/m m m'
_symmetry_Int_Tables_number 123
_symmetry_space_group_name_Hall '-P 4 2'
loop_
_atom_site_label
_atom_site_type_symbol
_atom_site_fract_x
_atom_site_fract_y
_atom_site_fract_z
Ca1 Ca 0.0000 0.0000 0.0000
In1 In 0.5000 0.5000 0.0000
Br1 Br 0.0000 0.5000 0.5000
Cl1 Cl 0.0000 0.0000 0.5000
```

Results
The size of the total moment is 0.00 μB per atom. As for the total energy: -0.2102 Ry/atom. The calculation puts the formation energy (no corrections) at -0.873 eV per atom.

=====

# 12
# NiMo2Ru

Crystalline NiMo2Ru at its relaxed geometry (PBE, Alexandria via LeMat-Bulk).

CIF file:
```
data_NiMo2Ru
_cell_length_a 2.7223
_cell_length_b 2.7223
_cell_length_c 7.7170
_cell_angle_alpha 90.00
_cell_angle_beta 90.00
_cell_angle_gamma 90.00
_symmetry_space_group_name_H-M 'P 4 m m'
_symmetry_Int_Tables_number 99
_symmetry_space_group_name_Hall 'P 4 -2'
loop_
_atom_site_label
_atom_site_type_symbol
_atom_site_fract_x
_atom_site_fract_y
_atom_site_fract_z
Ni1 Ni 0.0000 0.0000 0.0000
Mo1 Mo 0.0000 0.0000 0.4784
Mo2 Mo 0.5000 0.5000 0.7665
Ru1 Ru 0.5000 0.5000 0.2363
```

Results
The size of the total moment is 0.00 μB per atom. As for the total energy: -0.6660 Ry/atom.

=====

# 13
# LiLaCu3

Crystalline LiLaCu3 at its relaxed geometry (PBE, Alexandria via LeMat-Bulk).

CIF file:
```
data_LiLaCu3
_cell_length_a 5.3674
_cell_length_b 5.3674
_cell_length_c 5.3674
_cell_angle_alpha 90.00
_cell_angle_beta 90.00
_cell_angle_gamma 90.00
_symmetry_space_group_name_H-M 'P m -3 m'
_symmetry_Int_Tables_number 221
_symmetry_space_group_name_Hall '-P 4 2 3'
loop_
_atom_site_label
_atom_site_type_symbol
_atom_site_fract_x
_atom_site_fract_y
_atom_site_fract_z
Li1 Li 0.0000 0.0000 0.0000
La1 La 0.5000 0.5000 0.5000
Cu1 Cu 0.0000 0.5000 0.5000
```

Results
The size of the total moment is 0.00 μB per atom. As for the total energy: -0.2150 Ry/atom.

=====

# 14
# K3In4Hg2

Crystalline K3In4Hg2 at its relaxed geometry (PBE, Alexandria via LeMat-Bulk).

CIF file:
```
data_K3In4Hg2
_cell_length_a 12.0459
_cell_length_b 5.2950
_cell_length_c 9.9749
_cell_angle_alpha 90.00
_cell_angle_beta 114.91
_cell_angle_gamma 90.00
_symmetry_space_group_name_H-M 'C 1 2/m 1'
_symmetry_Int_Tables_number 12
_symmetry_space_group_name_Hall '-C 2y'
loop_
_atom_site_label
_atom_site_type_symbol
_atom_site_fract_x
_atom_site_fract_y
_atom_site_fract_z
K1 K 0.0000 0.0000 0.0000
K2 K 0.2038 0.5000 0.6319
In1 In 0.0158 0.0000 0.6547
In2 In 0.2311 0.5000 0.0709
Hg1 Hg 0.0505 0.5000 0.2395
```

Results
The size of the total moment is 0.00 μB per atom. As for the total energy: -0.1329 Ry/atom.

=====

# 15
# Sr2Mg16Al

Crystalline Sr2Mg16Al at its relaxed geometry (PBE, Alexandria via LeMat-Bulk).

CIF file:
```
data_Sr2Mg16Al
_cell_length_a 10.4470
_cell_length_b 10.4470
_cell_length_c 15.3545
_cell_angle_alpha 90.00
_cell_angle_beta 90.00
_cell_angle_gamma 120.00
_symmetry_space_group_name_H-M 'R 3 m'
_symmetry_Int_Tables_number 160
_symmetry_space_group_name_Hall 'R 3 -2"'
loop_
_atom_site_label
_atom_site_type_symbol
_atom_site_fract_x
_atom_site_fract_y
_atom_site_fract_z
Sr1 Sr 0.0000 0.0000 0.0000
Sr2 Sr 0.0000 0.0000 0.3326
Mg1 Mg 0.0000 0.0000 0.7550
Mg2 Mg 0.0000 0.2969 0.6651
Mg3 Mg 0.0022 0.5011 0.8194
Mg4 Mg 0.0030 0.5015 0.1651
Mg5 Mg 0.1682 0.3364 0.8453
Al1 Al 0.0000 0.0000 0.5630
```

Results
The size of the total moment is 0.00 μB per atom. As for the total energy: -0.1296 Ry/atom.

=====

# 16
# PuFeCo2H8

Crystalline PuFeCo2H8 at its relaxed geometry (PBE, Alexandria via LeMat-Bulk).

CIF file:
```
data_PuFeCo2H8
_cell_length_a 4.3549
_cell_length_b 4.3549
_cell_length_c 15.9356
_cell_angle_alpha 90.00
_cell_angle_beta 90.00
_cell_angle_gamma 120.00
_symmetry_space_group_name_H-M 'R -3'
_symmetry_Int_Tables_number 148
_symmetry_space_group_name_Hall '-R 3'
loop_
_atom_site_label
_atom_site_type_symbol
_atom_site_fract_x
_atom_site_fract_y
_atom_site_fract_z
Pu1 Pu 0.0000 0.0000 0.0000
Fe1 Fe 0.0000 0.0000 0.5000
Co1 Co 0.0000 0.0000 0.2008
H1 H 0.0000 0.0000 0.3032
H2 H 0.0262 0.7214 0.1173
```

Results
The size of the total moment is 0.65 μB per atom. As for the total energy: -0.3965 Ry/atom.

=====

# 17
# PrPuCdPb

Crystalline PrPuCdPb at its relaxed geometry (PBE, Alexandria via LeMat-Bulk).

CIF file:
```
data_PrPuCdPb
_cell_length_a 7.7684
_cell_length_b 7.7684
_cell_length_c 7.7684
_cell_angle_alpha 90.00
_cell_angle_beta 90.00
_cell_angle_gamma 90.00
_symmetry_space_group_name_H-M 'F -4 3 m'
_symmetry_Int_Tables_number 216
_symmetry_space_group_name_Hall 'F -4 2 3'
loop_
_atom_site_label
_atom_site_type_symbol
_atom_site_fract_x
_atom_site_fract_y
_atom_site_fract_z
Pr1 Pr 0.0000 0.0000 0.0000
Pu1 Pu 0.0000 0.0000 0.5000
Cd1 Cd 0.2500 0.2500 0.2500
Pb1 Pb 0.2500 0.2500 0.7500
```

Results
The size of the total moment is 1.73 μB per atom. As for the total energy: -0.4527 Ry/atom.

=====

# 18
# TeWS3

Crystalline TeWS3 at its relaxed geometry (PBE, Alexandria via LeMat-Bulk).

CIF file:
```
data_TeWS3
_cell_length_a 4.9717
_cell_length_b 4.9717
_cell_length_c 4.9717
_cell_angle_alpha 90.00
_cell_angle_beta 90.00
_cell_angle_gamma 90.00
_symmetry_space_group_name_H-M 'P m -3 m'
_symmetry_Int_Tables_number 221
_symmetry_space_group_name_Hall '-P 4 2 3'
loop_
_atom_site_label
_atom_site_type_symbol
_atom_site_fract_x
_atom_site_fract_y
_atom_site_fract_z
Te1 Te 0.0000 0.0000 0.0000
W1 W 0.5000 0.5000 0.5000
S1 S 0.0000 0.0000 0.5000
```

Results
The size of the total moment is 0.80 μB per atom. As for the total energy: -0.3054 Ry/atom. The calculation puts the formation energy (no corrections) at 1.540 eV per atom.

=====

# 19
# NdErZn

Crystalline NdErZn at its relaxed geometry (PBE, Alexandria via LeMat-Bulk).

CIF file:
```
data_NdErZn
_cell_length_a 4.9969
_cell_length_b 4.9969
_cell_length_c 3.8029
_cell_angle_alpha 90.00
_cell_angle_beta 90.00
_cell_angle_gamma 120.00
_symmetry_space_group_name_H-M 'P 3 m 1'
_symmetry_Int_Tables_number 156
_symmetry_space_group_name_Hall 'P 3 -2"'
loop_
_atom_site_label
_atom_site_type_symbol
_atom_site_fract_x
_atom_site_fract_y
_atom_site_fract_z
Nd1 Nd 0.0000 0.0000 0.0000
Er1 Er 0.3333 0.6667 0.5271
Zn1 Zn 0.6667 0.3333 0.3931
```

Results
The size of the total moment is 0.00 μB per atom. As for the total energy: -0.2633 Ry/atom.

=====

# 20
# CeZrTcAu

Crystalline CeZrTcAu at its relaxed geometry (PBE, Alexandria via LeMat-Bulk).

CIF file:
```
data_CeZrTcAu
_cell_length_a 6.9276
_cell_length_b 6.9276
_cell_length_c 6.9276
_cell_angle_alpha 90.00
_cell_angle_beta 90.00
_cell_angle_gamma 90.00
_symmetry_space_group_name_H-M 'F -4 3 m'
_symmetry_Int_Tables_number 216
_symmetry_space_group_name_Hall 'F -4 2 3'
loop_
_atom_site_label
_atom_site_type_symbol
_atom_site_fract_x
_atom_site_fract_y
_atom_site_fract_z
Ce1 Ce 0.0000 0.0000 0.0000
Zr1 Zr 0.0000 0.0000 0.5000
Tc1 Tc 0.2500 0.2500 0.2500
Au1 Au 0.2500 0.2500 0.7500
```

Results
The size of the total moment is 0.11 μB per atom. As for the total energy: -0.5338 Ry/atom.